DFT (PBE) results for Na4MnCl6 after structural relaxation.

The structure belongs to space group R-3c (No. 167, hexagonal axes); the cell edges are 11.5074, 11.5074 and 13.5986 Å and the angles 90.00°, 90.00° and 120.00°. The inequivalent atoms are Na at (0.0000, 0.0000, 0.2500), Na at (0.0000, 0.3655, 0.2500), Mn at (0.0000, 0.0000, 0.0000) and Cl at (0.0390, 0.1955, 0.3930).

For the spin magnetization, the calculation gives 0.45 μB per atom. For the energy relative to the elements, uncorrected, the calculation gives -1.56 eV/atom.


DFT (PBE) results for Li2Ca2SmSn2 after structural relaxation.

The structure belongs to space group R-3m (No. 166, hexagonal axes); the cell edges are 4.8648, 4.8648 and 27.6006 Å and the angles 90.00°, 90.00° and 120.00°. The inequivalent atoms are Li at (0.0000, 0.0000, 0.1014), Ca at (0.0000, 0.0000, 0.3716), Sm at (0.0000, 0.0000, 0.5000) and Sn at (0.0000, 0.0000, 0.2358).

For the spin magnetization, the calculation gives 0.12 μB per atom. As for the energy of formation from the pure elements: -0.510 eV/atom.


DFT (PBE) results for P2O after structural relaxation.

The structure belongs to space group C2 (No. 5); the cell edges are 7.726, 3.482 and 3.757 Å and the angles 90.00°, 116.28° and 90.00°. The inequivalent atoms are P at (0.236, 0.000, 0.189) and O at (0.000, 0.996, 0.000).

For the spin magnetization, the calculation gives 0.00 μB per atom. For the energy relative to the elements, uncorrected, the calculation gives -0.51 eV/atom.


DFT (PBE) results for PrNdSmEr2 after structural relaxation.

The structure belongs to space group Cmcm (No. 63); the cell edges are 6.482, 16.661 and 6.471 Å and the angles 90.00°, 90.00° and 90.00°. The inequivalent atoms are Pr at (0.000, 0.223, 0.250), Nd at (0.000, 0.157, 0.750), Sm at (0.000, 0.345, 0.750) and Er at (0.246, 0.000, 0.000).

For the spin magnetization, the calculation gives 0.00 μB per atom. As for the energy of formation from the pure elements: 0.322 eV/atom.


DFT (PBE) results for SrLa2CdFe after structural relaxation.

The structure belongs to space group P4/mmm (No. 123); the cell edges are 5.234, 5.234 and 5.527 Å and the angles 90.00°, 90.00° and 90.00°. The inequivalent atoms are Sr at (0.000, 0.000, 0.000), La at (0.000, 0.500, 0.500), Cd at (0.500, 0.500, 0.000) and Fe at (0.500, 0.500, 0.500).

For the spin magnetization, the calculation gives 0.00 μB per atom. As for the energy of formation from the pure elements: 0.006 eV/atom.


DFT (PBE) results for La2Zn5Cd after structural relaxation.

The structure belongs to space group Cmcm (No. 63); the cell edges are 4.525, 16.905 and 9.213 Å and the angles 90.00°, 90.00° and 90.00°. The inequivalent atoms are La at (0.000, 0.000, 0.000), La at (0.000, 0.209, 0.250), Zn at (0.000, 0.183, 0.609), Zn at (0.000, 0.345, 0.516), Zn at (0.000, 0.399, 0.250) and Cd at (0.000, 0.442, 0.750).

For the spin magnetization, the calculation gives 0.00 μB per atom. As for the energy of formation from the pure elements: -0.319 eV/atom.


DFT (PBE) results for Th3Ni2Os7 after structural relaxation.

The structure belongs to space group C2/m (No. 12); the cell edges are 9.145, 5.288 and 9.382 Å and the angles 90.00°, 108.95° and 90.00°. The inequivalent atoms are Th at (0.000, 0.000, 0.000), Th at (0.140, 0.000, 0.421), Ni at (0.166, 0.500, 0.998), Os at (0.000, 0.500, 0.500), Os at (0.079, 0.500, 0.234) and Os at (0.172, 0.249, 0.766).

For the spin magnetization, the calculation gives 0.00 μB per atom. As for the energy of formation from the pure elements: -0.234 eV/atom.